No. 1
Below is a geometry-optimized Tl3InTe structure, with properties calculated at the GGA-PBE level.

a = 5.7450 Å, b = 5.7450 Å, c = 5.7450 Å
α = 90.00°, β = 90.00°, γ = 90.00°
Space group Pm-3m (No. 221)
Symmetry-distinct sites (fractional):
Tl1 0.0000 0.0000 0.5000 [3 per cell]
In1 0.0000 0.0000 0.0000 [1 per cell]
Te1 0.5000 0.5000 0.5000 [1 per cell]

Calculated values
formation energy without anion corrections = 0.152 eV/atom
electronic total energy = -2.44 eV per atom
E above lowest polymorph = 0 meV per atom

No. 2
Below is a geometry-optimized Pr3InGe structure, with properties calculated at the GGA-PBE level.

a = 4.3187 Å, b = 7.3631 Å, c = 9.7769 Å
α = 90.93°, β = 90.01°, γ = 107.00°
Space group P-1 (No. 2)
Symmetry-distinct sites (fractional):
Pr1 0.0506 0.1024 0.1498 [2 per cell]
Pr2 0.2407 0.4822 0.8173 [2 per cell]
Pr3 0.4273 0.8551 0.3691 [2 per cell]
In1 0.1804 0.3617 0.4341 [2 per cell]
Ge1 0.3897 0.7793 0.0664 [2 per cell]

Calculated values
electronic total energy = -4.81 eV per atom
ΔE_f = -2.4 eV per formula unit
E above lowest polymorph = 39 meV per atom

No. 3
Below is a geometry-optimized SmDy4Er7 structure, with properties calculated at the GGA-PBE level.

a = 6.4716 Å, b = 6.7568 Å, c = 8.9674 Å
α = 85.32°, β = 76.71°, γ = 81.58°
Space group P-1 (No. 2)
Symmetry-distinct sites (fractional):
Sm1 0.0000 0.0000 0.0000 [1 per cell]
Dy1 0.1635 0.6147 0.3115 [2 per cell]
Dy2 0.3613 0.1935 0.7128 [2 per cell]
Er1 0.0000 0.5000 0.0000 [1 per cell]
Er2 0.1897 0.1062 0.3877 [2 per cell]
Er3 0.3171 0.7014 0.6419 [2 per cell]
Er4 0.4837 0.2508 0.0505 [2 per cell]

Calculated values
electronic total energy = -4.50 eV per atom
ΔE_f = 1.1 eV per formula unit

No. 4
Below is a geometry-optimized P2SI structure, with properties calculated at the GGA-PBE level.

a = 6.7529 Å, b = 6.7529 Å, c = 6.7529 Å
α = 90.00°, β = 90.00°, γ = 90.00°
Space group Fm-3m (No. 225)
Symmetry-distinct sites (fractional):
P1 0.2500 0.2500 0.2500 [8 per cell]
S1 0.0000 0.0000 0.0000 [4 per cell]
I1 0.0000 0.0000 0.5000 [4 per cell]

Calculated values
formation energy without anion corrections = 1.077 eV/atom
electronic total energy = -3.05 eV per atom
E above lowest polymorph = 364 meV per atom

No. 5
Below is a geometry-optimized Sr2LaYS4 structure, with properties calculated at the GGA-PBE level.

a = 7.1405 Å, b = 4.1184 Å, c = 7.2591 Å
α = 90.00°, β = 109.06°, γ = 90.00°
Space group P2/m (No. 10)
Symmetry-distinct sites (fractional):
Sr1 0.0000 0.0000 0.0000 [1 per cell]
Sr2 0.5000 0.5000 0.0000 [1 per cell]
La1 0.0000 0.5000 0.5000 [1 per cell]
Y1 0.5000 0.0000 0.5000 [1 per cell]
S1 0.2561 0.0000 0.7398 [2 per cell]
S2 0.2640 0.5000 0.2663 [2 per cell]

Calculated values
formation energy without anion corrections = -2.068 eV/atom
electronic total energy = -5.98 eV per atom

No. 6
Below is a geometry-optimized Na2Al6Ag9 structure, with properties calculated at the GGA-PBE level.

a = 5.6458 Å, b = 5.6458 Å, c = 12.9544 Å
α = 90.00°, β = 90.00°, γ = 120.00°
Space group P6/mmm (No. 191)
Symmetry-distinct sites (fractional):
Na1 0.0000 0.0000 0.1762 [2 per cell]
Al1 0.3333 0.6667 0.1670 [4 per cell]
Al2 0.3333 0.6667 0.5000 [2 per cell]
Ag1 0.0000 0.5000 0.0000 [3 per cell]
Ag2 0.0000 0.5000 0.3338 [6 per cell]

Calculated values
electronic total energy = -3.00 eV per atom
ΔE_f = -0.2 eV per formula unit

No. 7
Below is a geometry-optimized Ca2AlRe structure, with properties calculated at the GGA-PBE level.

a = 10.1935 Å, b = 2.9049 Å, c = 5.7972 Å
α = 90.00°, β = 95.74°, γ = 90.00°
Space group C2/m (No. 12)
Symmetry-distinct sites (fractional):
Ca1 0.2485 0.0000 0.2419 [4 per cell]
Al1 0.0000 0.0000 0.5000 [2 per cell]
Re1 0.0000 0.5000 0.0000 [2 per cell]

Calculated values
electronic total energy = -4.39 eV per atom
ΔE_f = 2.7 eV per formula unit

No. 8
Below is a geometry-optimized Zn2FePN structure, with properties calculated at the GGA-PBE level.

a = 4.4548 Å, b = 4.4548 Å, c = 4.1159 Å
α = 90.00°, β = 90.00°, γ = 90.00°
Space group P4/mmm (No. 123)
Symmetry-distinct sites (fractional):
Zn1 0.0000 0.5000 0.0000 [2 per cell]
Fe1 0.0000 0.0000 0.5000 [1 per cell]
P1 0.0000 0.0000 0.0000 [1 per cell]
N1 0.5000 0.5000 0.5000 [1 per cell]

Calculated values
formation energy without anion corrections = 1.390 eV/atom
electronic total energy = -3.56 eV per atom

> The highest electronic total energy belongs to which entry?

Tl3InTe